No. 1
First-principles (PBE) data for crystalline Tm3As at its relaxed geometry, as listed in Alexandria.

abc: 3.9186 3.9197 7.4641
angles: 90.00 90.00 90.00
Fractional positions:
Tm  0.0000  0.0000  0.0000
Tm  0.0000  0.5000  0.3586
Tm  0.5000  0.5000  0.7176
As  0.5000  0.0000  0.3597

Values from the calculation:
SG: Pmm2 (25)
Magnetization: 0.000 μB/f.u.
Energy of formation: -429 meV per atom



No. 2
First-principles (PBE) data for crystalline TmAs3 at its relaxed geometry, as listed in Alexandria.

abc: 6.0144 6.0144 5.3432
angles: 90.00 90.00 120.00
Fractional positions:
Tm  0.3333  0.6667  0.2500
Tm  0.6667  0.3333  0.7500
As  0.1824  0.3648  0.7500
As  0.1824  0.8176  0.7500
As  0.3648  0.1824  0.2500
As  0.6352  0.8176  0.7500
As  0.8176  0.1824  0.2500
As  0.8176  0.6352  0.2500

Values from the calculation:
SG: P6_3/mmc (194)
Magnetization: 0.000 μB/f.u.
Energy of formation: -463 meV per atom



> Look up the magnetization of the second one.

0.000 μB/f.u.